P) Here is a relaxed TbDy4Tm5 crystal from Alexandria via LeMat-Bulk. Energies are from PBE.

Properties
crystal system = monoclinic

Lattice parameters (Å, degrees): 16.9658 3.4874 10.8341 90.00 90.14 90.00
Closest atoms and distances in Å follow each position.
Space group C2/m (No. 12)
Asymmetric unit:
Tb 0.0000 0.0000 0.0000  4 Dy 3.27, 4 Tm 3.48, 2 Tb 3.49
Dy 0.0273 0.5000 0.7488  4 Tm 3.24-3.29, 2 Tb 3.27, 4 Dy 3.49-3.53
Dy 0.1534 0.0000 0.2497  4 Dy 3.49-3.53, 7 Tm 3.63-3.76, 1 Tb 3.75
Tm 0.0000 0.0000 0.5000  4 Dy 3.24, 6 Tm 3.46-3.49
Tm 0.1732 0.5000 0.5503  2 Dy 3.28-3.65, 6 Tm 3.32-3.49
Tm 0.1739 0.5000 0.9475  2 Dy 3.29-3.63, 4 Tm 3.31-3.49, 2 Tb 3.48

***

Q) Here is a relaxed TbDy4Tm5 crystal from Alexandria via LeMat-Bulk. Energies are from PBE.

Properties
crystal system = tetragonal

Lattice parameters (Å, degrees): 10.1058 10.1058 6.2149 90.00 90.00 90.00
Closest atoms and distances in Å follow each position.
Space group I4 (No. 79)
Asymmetric unit:
Tb 0.0000 0.0000 0.0000  1 Tm 2.86
Dy 0.0487 0.3472 0.7698  4 Tm 3.20-3.47, 1 Dy 3.24
Tm 0.0000 0.0000 0.5393  1 Tb 2.86
Tm 0.1448 0.2321 0.2716  4 Dy 3.20-3.47, 1 Tm 3.23, 1 Tb 3.24

***

Tell me which of them is the most stable. Sure, it is P).

***

P) Here is a relaxed Tb4DyTm2 crystal from Alexandria via LeMat-Bulk. Energies are from PBE.

Properties
crystal system = monoclinic

Lattice parameters (Å, degrees): 6.1302 6.4803 11.4447 90.00 105.55 90.00
Closest atoms and distances in Å follow each position.
Space group P2_1/m (No. 11)
Asymmetric unit:
Tb 0.0278 0.2500 0.3590  3 Dy 3.32-3.43, 2 Tb 3.34, 3 Tm 3.35-3.48
Tb 0.1450 0.2500 0.9449  1 Dy 3.29, 4 Tm 3.37-3.38, 4 Tb 3.41-3.48
Tb 0.3495 0.5034 0.2132  5 Tb 3.20-3.48, 1 Dy 3.37, 2 Tm 3.47-3.56
Dy 0.1606 0.2500 0.6601  6 Tb 3.29-3.43, 1 Tm 3.40
Tm 0.2920 0.7500 0.9284  9 Tb 3.35-3.56
Tm 0.3923 0.7500 0.5019  6 Tb 3.37-3.62, 2 Dy 3.40-3.70, 2 Tm 3.50

***

Q) Here is a relaxed Tb4DyTm2 crystal from Alexandria via LeMat-Bulk. Energies are from PBE.

Properties
crystal system = monoclinic

Lattice parameters (Å, degrees): 16.6312 3.5028 8.6702 90.00 119.45 90.00
Closest atoms and distances in Å follow each position.
Space group C2/m (No. 12)
Asymmetric unit:
Tb 0.1390 0.0000 0.3317  7 Tb 3.50-3.82, 4 Tm 3.55, 2 Dy 3.72
Tb 0.2040 0.0000 0.7938  3 Tm 3.31-3.46, 5 Tb 3.50-3.60, 2 Dy 3.55
Dy 0.0000 0.5000 0.5000  2 Tm 3.31, 2 Dy 3.50, 4 Tb 3.55
Tm 0.0704 0.5000 0.9296  3 Tm 3.13-3.50, 1 Dy 3.31, 3 Tb 3.31-3.46

***

Tell me which of them is the most stable. Sure, it is Q).